Arrangement P

A plane-wave DFT calculation with PBE-GGA was carried out for a relaxed CoCuB3 crystal.

```
CoCuB3
1.0
-1.5713 -1.2504 -3.1435
1.9770 -3.1520 0.2656
-2.7453 -1.5542 1.9904
B Co Cu
3 1 1
Cartesian
0.9885 -1.5760 0.1328
-1.3727 -0.7771 0.9952
-0.7856 -0.6252 -1.5718
0.0000 0.0000 0.0000
-1.1698 -2.9783 -0.4437
```

Its calculated volume is 10.4 Å³/atom.

***

Arrangement Q

A plane-wave DFT calculation with PBE-GGA was carried out for a relaxed CoCuB3 crystal.

```
CoCuB3
1.0
-1.7701 -1.4818 -2.9358
3.1956 0.0123 -1.9330
0.7766 -3.4282 1.2621
B Co Cu
3 1 1
Cartesian
1.5978 0.0061 -0.9665
0.3883 -1.7141 0.6310
-0.8851 -0.7409 -1.4679
1.1010 -2.4489 -1.8033
0.0000 0.0000 0.0000
```

Its calculated volume is 10.4 Å³/atom.

***

Top of the stability list: arrangement P, leading by 73.5 kJ/mol of atoms.

***

Arrangement P

A plane-wave DFT calculation with PBE-GGA was carried out for a relaxed DyCo3B2 crystal.

```
DyCo3B2
1.0
-2.6736 0.3226 -4.0120
-2.3032 -4.6674 1.1609
-3.2884 3.3975 2.4658
Dy Co B
2 6 4
Cartesian
-2.6163 -0.3618 0.2611
-5.6490 -0.5854 -0.6464
-3.4215 -1.8037 -2.2286
-3.8313 1.5511 -1.6858
-4.8438 0.8564 1.8433
-2.2407 0.1885 -2.8563
-6.0246 -1.1358 2.4710
-4.4340 -2.4984 1.3005
-3.8447 -2.8309 -0.5741
-2.5079 -2.9921 1.4320
-3.0838 1.7222 2.1948
-4.4206 1.8836 0.1888
```

Its calculated volume is 11.2 Å³/atom.

***

Arrangement Q

A plane-wave DFT calculation with PBE-GGA was carried out for a relaxed DyCo3B2 crystal.

```
DyCo3B2
1.0
3.3039 0.0000 0.0000
0.0000 7.2546 -4.1885
0.0000 0.0000 8.3769
Dy Co B
3 9 6
Cartesian
1.6519 0.0000 0.0000
0.0000 4.8364 0.0000
0.0000 2.4182 4.1885
1.6519 3.6273 2.0942
1.6519 0.0000 4.1885
1.6519 3.6273 -2.0942
0.0000 5.1806 2.9910
0.0000 0.0000 2.3949
0.0000 2.0740 -1.1974
0.0000 2.0740 1.1974
0.0000 0.0000 5.9821
0.0000 5.1806 -2.9910
1.6519 5.8935 -1.8309
1.6519 2.7223 0.0000
1.6519 5.8935 1.8309
1.6519 1.3612 6.0193
1.6519 4.5323 4.1885
1.6519 1.3612 2.3576
```

Its calculated volume is 11.2 Å³/atom.

***

Top of the stability list: arrangement Q, leading by 5.8 kJ/mol of atoms.

***

Arrangement P

A plane-wave DFT calculation with PBE-GGA was carried out for a relaxed ErCoB2 crystal.

```
ErCoB2
1.0
3.1463 0.0000 0.0000
0.0000 5.8617 0.0000
0.0000 0.0000 10.0131
Er Co B
4 4 8
Cartesian
2.3597 4.3581 2.9578
2.3597 1.4272 2.0487
0.7866 1.5036 7.0552
0.7866 4.4345 7.9644
0.7866 0.5289 4.2440
2.3597 5.3328 5.7691
0.7866 3.4597 0.7626
2.3597 2.4020 9.2505
2.3597 4.5286 0.0906
0.7866 1.3330 9.9225
2.3597 1.5978 4.9159
0.7866 4.2639 5.0971
2.3597 0.3409 9.4811
0.7866 2.5899 4.4746
2.3597 3.2718 5.5385
0.7866 5.5207 0.5319
```

Its calculated volume is 11.5 Å³/atom.

***

Arrangement Q

A plane-wave DFT calculation with PBE-GGA was carried out for a relaxed ErCoB2 crystal.

```
ErCoB2
1.0
5.1909 0.0000 0.0000
0.0000 5.7618 0.0000
0.0000 0.0000 6.0253
Er Co B
4 4 8
Cartesian
3.8932 5.7409 2.0727
3.8932 2.8599 0.9400
1.2977 0.0210 3.9526
1.2977 2.9019 5.0853
3.8932 4.7156 4.9696
3.8932 1.8347 4.0684
1.2977 1.0462 1.0557
1.2977 3.9271 1.9569
4.7406 3.6162 3.2666
3.0458 0.7353 5.7713
2.1452 2.1456 2.7587
0.4503 5.0265 0.2540
0.4503 2.1456 2.7587
2.1452 5.0265 0.2540
3.0458 3.6162 3.2666
4.7406 0.7353 5.7713
```

Its calculated volume is 11.3 Å³/atom.

***

Top of the stability list: arrangement Q, leading by 29.2 kJ/mol of atoms.

***

Arrangement P

A plane-wave DFT calculation with PBE-GGA was carried out for a relaxed ErCoB3 crystal.

```
ErCoB3
1.0
3.3569 0.0000 -0.4622
0.0000 3.1168 0.0000
-0.3234 0.0000 10.0731
Er Co B
2 2 6
Cartesian
2.8063 2.3376 7.9602
0.2273 0.7792 1.6507
0.5730 2.3376 4.1613
2.4606 0.7792 5.4496
2.0903 2.3376 2.7596
0.9433 0.7792 6.8513
1.7216 2.3376 0.0820
1.3120 0.7792 9.5289
2.1864 0.7792 3.4577
0.8472 2.3376 6.1532
```

Its calculated volume is 10.5 Å³/atom.

***

Arrangement Q

A plane-wave DFT calculation with PBE-GGA was carried out for a relaxed ErCoB3 crystal.

```
ErCoB3
1.0
3.0389 0.0000 0.0000
0.0000 4.5433 0.0000
-1.5194 0.0000 7.7178
Er Co B
2 2 6
Cartesian
1.5194 3.4075 6.5080
0.0000 1.1358 1.2098
1.5194 3.4075 1.6534
0.0000 1.1358 6.0644
1.5194 0.2077 3.2581
0.0000 4.3356 4.4597
0.0000 2.4794 4.4597
1.5194 2.0640 3.2581
0.0000 3.4075 2.9803
1.5194 1.1358 4.7375
```

Its calculated volume is 10.7 Å³/atom.

***

Top of the stability list: arrangement P, leading by 25.3 kJ/mol of atoms.